## Ta2ZnPb (PBE-GGA)

Data for a relaxed Ta2ZnPb crystal.

Cell lengths 3.5691, 4.8804, 9.2715 Å; angles 90.00, 90.00, 90.00 degrees
Fractional coordinates of all 8 atoms:
Ta 0.0000 0.0000 0.0000
Ta 0.0000 0.5000 0.2292
Ta 0.5000 0.0000 0.2292
Ta 0.5000 0.5000 0.0000
Zn 0.0000 0.5000 0.7788
Zn 0.5000 0.0000 0.7788
Pb 0.0000 0.0000 0.4998
Pb 0.5000 0.5000 0.4998

Results
ΔH_f (0 K) (meV/atom): 295.0
Magnetization (μB per cell): 0.0
Volume (A^3/atom): 20.2